{"formula": "VCdMoO6", "functional": "PBE with a Hubbard U", "state": "relaxed", "m_tot_mub_per_cell": 1.998, "sg": "P4_2nm (102)", "final_energy_ev_per_atom": -6.5789, "lattice": [[4.7924, 0.0000, 0.0000], [0.0000, 4.7924, 0.0000], [0.0000, 0.0000, 9.4316]], "species": ["V", "V", "Cd", "Cd", "Mo", "Mo", "O", "O", "O", "O", "O", "O", "O", "O", "O", "O", "O", "O"], "fractional_positions": [[0.0000, 0.0000, 0.0000], [0.5000, 0.5000, 0.5000], [0.0000, 0.0000, 0.3352], [0.5000, 0.5000, 0.8352], [0.0000, 0.0000, 0.6695], [0.5000, 0.5000, 0.1695], [0.1755, 0.1755, 0.8353], [0.2218, 0.2218, 0.1480], [0.2236, 0.2236, 0.5307], [0.2764, 0.7236, 0.0307], [0.2782, 0.7218, 0.6480], [0.3245, 0.6755, 0.3353], [0.6755, 0.3245, 0.3353], [0.7218, 0.2782, 0.6480], [0.7236, 0.2764, 0.0307], [0.7764, 0.7764, 0.5307], [0.7782, 0.7782, 0.1480], [0.8245, 0.8245, 0.8353]]}